Density functional theory data (GGA-PBE) for a relaxed structure of K6ReP2.

The structure belongs to space group P-3m1 (No. 164); the cell edges are 9.5007, 9.5007 and 4.7213 Å and the angles 90.00°, 90.00° and 120.00°. The distinct sites, in fractional coordinates, are K at (0.2017, 0.4034, 0.2375), Re at (0.0000, 0.0000, 0.5000) and P at (0.3333, 0.6667, 0.7397).

For the mass density, the calculation gives 2172 kg/m3. The value obtained for the formation energy is 653 meV/atom. The value obtained for the total magnetization is 5.04 μB per cell.